No. 1
Mg2ReW: relaxed, PBE-GGA.

Values from the calculation:
For the formation enthalpy at 0 K, the calculation gives 0.358 eV per atom. Its distance to the lowest polymorph of the same formula is 178 meV per atom. The calculated total energy is -0.24950 hartree per atom. The space group is P2/m (10).

Structure (CIF):
```
data_Mg2ReW
_space_group_name_H-M_alt 'P 1'
_space_group_IT_number 1
_cell_length_a 2.7063
_cell_length_b 4.6911
_cell_length_c 5.3660
_cell_angle_alpha 90.00
_cell_angle_beta 103.90
_cell_angle_gamma 90.00
loop_
_space_group_symop_operation_xyz
'x,y,z'
loop_
_atom_site_label
_atom_site_fract_x
_atom_site_fract_y
_atom_site_fract_z
Mg1 0.2239 0.0000 0.2537
Mg2 0.7761 0.0000 0.7463
Re1 0.0000 0.5000 0.5000
W1 0.5000 0.5000 0.0000
```

***

No. 2
TbNi5Sb: relaxed, PBE-GGA.

Values from the calculation:
The calculated total energy is -0.21122 hartree per atom. The space group is Pnma (62). The value obtained for the raw formation energy is -368 meV per atom.

Structure (CIF):
```
data_TbNi5Sb
_space_group_name_H-M_alt 'P 1'
_space_group_IT_number 1
_cell_length_a 8.0180
_cell_length_b 4.9451
_cell_length_c 10.1600
_cell_angle_alpha 90.00
_cell_angle_beta 90.00
_cell_angle_gamma 90.00
loop_
_space_group_symop_operation_xyz
'x,y,z'
loop_
_atom_site_label
_atom_site_fract_x
_atom_site_fract_y
_atom_site_fract_z
Tb1 0.2471 0.2500 0.0574
Tb2 0.2529 0.7500 0.5574
Tb3 0.7471 0.2500 0.4426
Tb4 0.7529 0.7500 0.9426
Ni1 0.0621 0.2500 0.5957
Ni2 0.0672 0.5006 0.8083
Ni3 0.0672 0.9994 0.8083
Ni4 0.0882 0.7500 0.0193
Ni5 0.1829 0.7500 0.2507
Ni6 0.3171 0.2500 0.7507
Ni7 0.4118 0.2500 0.5193
Ni8 0.4328 0.0006 0.3083
Ni9 0.4328 0.4994 0.3083
Ni10 0.4379 0.7500 0.0957
Ni11 0.5621 0.2500 0.9043
Ni12 0.5672 0.5006 0.6917
Ni13 0.5672 0.9994 0.6917
Ni14 0.5882 0.7500 0.4807
Ni15 0.6829 0.7500 0.2493
Ni16 0.8171 0.2500 0.7493
Ni17 0.9118 0.2500 0.9807
Ni18 0.9328 0.0006 0.1917
Ni19 0.9328 0.4994 0.1917
Ni20 0.9379 0.7500 0.4043
Sb1 0.1443 0.2500 0.3573
Sb2 0.3557 0.7500 0.8573
Sb3 0.6443 0.2500 0.1427
Sb4 0.8557 0.7500 0.6427
```

***

No. 3
Na2SmPN4: relaxed, PBE-GGA.

Values from the calculation:
The calculated total energy is -0.22279 hartree per atom. The space group is I-42m (121). The value obtained for the raw formation energy is -304 meV per atom.

Structure (CIF):
```
data_Na2SmPN4
_space_group_name_H-M_alt 'P 1'
_space_group_IT_number 1
_cell_length_a 5.9043
_cell_length_b 5.9043
_cell_length_c 6.1833
_cell_angle_alpha 90.00
_cell_angle_beta 90.00
_cell_angle_gamma 90.00
loop_
_space_group_symop_operation_xyz
'x,y,z'
loop_
_atom_site_label
_atom_site_fract_x
_atom_site_fract_y
_atom_site_fract_z
Na1 0.0000 0.5000 0.2500
Na2 0.0000 0.5000 0.7500
Na3 0.5000 0.0000 0.2500
Na4 0.5000 0.0000 0.7500
Sm1 0.0000 0.0000 0.0000
Sm2 0.5000 0.5000 0.5000
P1 0.0000 0.0000 0.5000
P2 0.5000 0.5000 0.0000
N1 0.1642 0.1642 0.6476
N2 0.1642 0.8358 0.3524
N3 0.3358 0.3358 0.1476
N4 0.3358 0.6642 0.8524
N5 0.6642 0.3358 0.8524
N6 0.6642 0.6642 0.1476
N7 0.8358 0.1642 0.3524
N8 0.8358 0.8358 0.6476
```

***

Question: Among the records above, which one has the highest calculated total energy?
Answer: TbNi5Sb